(1)
A relaxed EuBe2Pt crystal. Source: Alexandria, functional PBE.

abc: 3.9780 3.9780 5.6125
angles: 69.24 69.24 60.00
Closest atoms and distances in Å follow each position.
Element x y z (fractional)
Eu (0.5000, 0.5000, 0.5000)  2 Be 2.86
Be (0.3137, 0.3137, 0.0589)  3 Pt 2.32, 3 Be 2.37
Be (0.6863, 0.6863, 0.9411)  3 Pt 2.32, 3 Be 2.37
Pt (0.0000, 0.0000, 0.0000)  6 Be 2.32

Computed properties:
ΔH_f (0 K): -0.545 eV/atom
SG: R-3m, No. 166
D(E_F): 9.35 states/eV/cell

---

(2)
A relaxed Li3Er3HfTe8 crystal. Source: Alexandria, functional PBE.

abc: 8.5307 8.5308 8.6289
angles: 119.63 90.00 120.00
Closest atoms and distances in Å follow each position.
Element x y z (fractional)
Li (0.0000, 0.0000, 0.0000)  6 Te 3.01-3.02
Li (0.0000, 0.5000, 0.0000)  6 Te 3.01-3.02
Li (0.5000, 0.5000, 0.0000)  6 Te 3.01
Er (0.5000, 0.0000, 0.5000)  6 Te 3.06
Er (0.5000, 0.5000, 0.5000)  6 Te 3.05-3.06
Er (0.0000, 0.5000, 0.5000)  6 Te 3.05-3.06
Hf (0.0000, 0.0000, 0.5000)  6 Te 2.94
Te (0.2482, 0.4965, 0.2448)  3 Li 3.01, 3 Er 3.05-3.06
Te (0.7518, 0.5035, 0.7552)  3 Li 3.01, 3 Er 3.05-3.06
Te (0.7580, 0.5161, 0.2546)  1 Hf 2.94, 2 Li 3.01-3.02, 2 Er 3.06
Te (0.2420, 0.4839, 0.7454)  1 Hf 2.94, 2 Li 3.01-3.02, 2 Er 3.06
Te (0.7581, 0.9964, 0.2546)  1 Hf 2.94, 2 Li 3.01-3.02, 2 Er 3.06
Te (0.2419, 0.0036, 0.7454)  1 Hf 2.94, 2 Li 3.01-3.02, 2 Er 3.06
Te (0.2383, 0.9964, 0.2546)  1 Hf 2.94, 2 Li 3.01, 2 Er 3.06
Te (0.7617, 0.0036, 0.7454)  1 Hf 2.94, 2 Li 3.01, 2 Er 3.06

Computed properties:
SG: R-3m, No. 166
Formation energy from raw total energies: -1.1774 eV per atom

---

(3)
A relaxed Bi3MoCl crystal. Source: Alexandria, functional PBE.

abc: 5.4115 5.4115 5.4115
angles: 90.00 90.00 90.00
Closest atoms and distances in Å follow each position.
Element x y z (fractional)
Mo (0.5000, 0.5000, 0.5000)  12 Bi 3.83
Bi (0.0000, 0.5000, 0.0000)  2 Cl 2.71
Bi (0.0000, 0.0000, 0.5000)  2 Cl 2.71
Bi (0.5000, 0.0000, 0.0000)  2 Cl 2.71
Cl (0.0000, 0.0000, 0.0000)  6 Bi 2.71

Computed properties:
ΔE to the lowest computed polymorph: 0.901 eV/atom
SG: Pm-3m, No. 221
Formation energy from raw total energies: 1.1801 eV per atom
D(E_F): 2.84 states/eV/cell

---

(4)
A relaxed HfIn4Pd5 crystal. Source: Alexandria, functional PBE.

abc: 3.3539 3.3539 16.1798
angles: 90.00 90.00 90.00
Closest atoms and distances in Å follow each position.
Element x y z (fractional)
Hf (0.0000, 0.0000, 0.0000)  8 Pd 2.80
In (0.0000, 0.0000, 0.1995)  8 Pd 2.89-2.94, 1 Hf 3.23
In (0.0000, 0.0000, 0.3998)  8 Pd 2.86-2.87
In (0.0000, 0.0000, 0.6002)  8 Pd 2.86-2.87
In (0.0000, 0.0000, 0.8005)  8 Pd 2.89-2.94, 1 Hf 3.23
Pd (0.5000, 0.5000, 0.0918)  4 Hf 2.80, 4 In 2.94, 1 Pd 2.97
Pd (0.5000, 0.5000, 0.3013)  8 In 2.86-2.89
Pd (0.5000, 0.5000, 0.5000)  8 In 2.87, 2 Pd 3.21
Pd (0.5000, 0.5000, 0.6987)  8 In 2.86-2.89
Pd (0.5000, 0.5000, 0.9082)  4 Hf 2.80, 4 In 2.94, 1 Pd 2.97

Computed properties:
ΔH_f (0 K): -0.552 eV/atom
SG: P4/mmm, No. 123
D(E_F): 3.84 states/eV/cell

---

(5)
A relaxed Li2Ni2Rh crystal. Source: Alexandria, functional PBE.

abc: 3.4481 3.4481 5.4822
angles: 108.33 108.33 90.00
Closest atoms and distances in Å follow each position.
Element x y z (fractional)
Li (0.5958, 0.5958, 0.1917)  1 Li 1.88
Li (0.4042, 0.4042, 0.8083)  1 Li 1.88
Ni (0.2500, 0.7500, 0.5000)  4 Li 2.29, 4 Ni 2.44
Ni (0.7500, 0.2500, 0.5000)  4 Li 2.29, 4 Ni 2.44
Rh (0.0000, 0.0000, 0.0000)  8 Li 2.61

Computed properties:
ΔH_f (0 K): 0.318 eV/atom
ΔE to the lowest computed polymorph: 0.224 eV/atom
SG: I4/mmm, No. 139
D(E_F): 7.55 states/eV/cell

---

(6)
A relaxed Y2OsW crystal. Source: Alexandria, functional PBE.

abc: 5.7231 5.7231 4.8866
angles: 64.76 64.76 34.00
Closest atoms and distances in Å follow each position.
Element x y z (fractional)
Os (0.7500, 0.7500, 0.7500)  4 Y 2.84, 4 W 2.96
W (0.2500, 0.2500, 0.2500)  4 Os 2.96, 4 Y 3.10
Y (0.0158, 0.0158, 0.9842)  2 Os 2.84, 4 Y 2.98, 2 W 3.10
Y (0.4842, 0.4842, 0.5158)  2 Os 2.84, 4 Y 2.98, 2 W 3.10

Computed properties:
ΔH_f (0 K): 0.494 eV/atom
ΔE to the lowest computed polymorph: 0.445 eV/atom
SG: Immm, No. 71
D(E_F): 3.35 states/eV/cell

---

(7)
A relaxed Na2HfPb3S6 crystal. Source: Alexandria, functional PBE.

abc: 7.1152 7.1152 7.0203
angles: 99.43 99.43 119.81
Closest atoms and distances in Å follow each position.
Element x y z (fractional)
Na (0.3318, 0.6682, 0.0000)  6 S 2.88-2.97
Na (0.6682, 0.3318, 0.0000)  6 S 2.88-2.97
Hf (0.0000, 0.0000, 0.0000)  6 S 2.57-2.63
Pb (0.1649, 0.8351, 0.5000)  4 S 2.85-2.92
Pb (0.8351, 0.1649, 0.5000)  4 S 2.85-2.92
Pb (0.5000, 0.5000, 0.5000)  6 S 2.92-3.13
S (0.9243, 0.6289, 0.7810)  1 Hf 2.57
S (0.7793, 0.7793, 0.2360)  1 Hf 2.63, 2 Pb 2.85
S (0.0757, 0.3711, 0.2190)  1 Hf 2.57
S (0.6289, 0.9243, 0.7810)  1 Hf 2.57
S (0.2207, 0.2207, 0.7640)  1 Hf 2.63, 2 Pb 2.85
S (0.3711, 0.0757, 0.2190)  1 Hf 2.57

Computed properties:
SG: C2/m, No. 12
Formation energy from raw total energies: -0.9753 eV per atom
D(E_F): 0.00 states/eV/cell

---

(8)
A relaxed BeIrAu2 crystal. Source: Alexandria, functional PBE.

abc: 2.7713 2.7713 8.8307
angles: 90.00 90.00 116.63
Closest atoms and distances in Å follow each position.
Element x y z (fractional)
Be (0.0000, 0.0000, 0.5132)  2 Ir 2.22, 2 Au 2.44
Ir (0.5000, 0.5000, 0.7033)  2 Be 2.22
Au (0.0000, 0.0000, 0.9917)  8 Au 2.77-3.02, 2 Ir 2.93
Au (0.5000, 0.5000, 0.2918)  2 Be 2.44

Computed properties:
ΔH_f (0 K): 0.009 eV/atom
SG: Cmm2, No. 35
D(E_F): 1.87 states/eV/cell

---

(9)
A relaxed Zr2CuPb2 crystal. Source: Alexandria, functional PBE.

abc: 7.0842 7.0842 4.6291
angles: 90.00 90.00 90.00
Closest atoms and distances in Å follow each position.
Element x y z (fractional)
Pb (0.1593, 0.6593, 0.5000)  6 Zr 2.95-3.22, 1 Pb 3.19
Pb (0.6593, 0.8407, 0.5000)  6 Zr 2.95-3.22, 1 Pb 3.19
Pb (0.8407, 0.3407, 0.5000)  6 Zr 2.95-3.22, 1 Pb 3.19
Pb (0.3407, 0.1593, 0.5000)  6 Zr 2.95-3.22, 1 Pb 3.19
Cu (0.0000, 0.0000, 0.0000)  4 Zr 2.67
Cu (0.5000, 0.5000, 0.0000)  4 Zr 2.67
Zr (0.3425, 0.8425, 0.0000)  2 Cu 2.67, 2 Pb 2.95
Zr (0.8425, 0.6575, 0.0000)  2 Cu 2.67, 2 Pb 2.95
Zr (0.6575, 0.1575, 0.0000)  2 Cu 2.67, 2 Pb 2.95
Zr (0.1575, 0.3425, 0.0000)  2 Cu 2.67, 2 Pb 2.95

Computed properties:
ΔH_f (0 K): 0.065 eV/atom
ΔE to the lowest computed polymorph: 0.000 eV/atom
SG: P4/mbm, No. 127
D(E_F): 7.58 states/eV/cell

---

(10)
A relaxed Cu2Ru crystal. Source: Alexandria, functional PBE.

abc: 5.0715 5.0715 6.2194
angles: 75.01 75.01 30.11
Closest atoms and distances in Å follow each position.
Element x y z (fractional)
Cu (0.0227, 0.0227, 0.6992)  7 Cu 2.58-2.63, 5 Ru 2.65-2.67
Cu (0.6381, 0.6381, 0.9729)  9 Cu 2.58-2.66, 3 Ru 2.62-2.65
Cu (0.3619, 0.3619, 0.0271)  9 Cu 2.58-2.66, 3 Ru 2.62-2.65
Cu (0.9773, 0.9773, 0.3008)  7 Cu 2.58-2.63, 5 Ru 2.65-2.67
Ru (0.6990, 0.6990, 0.3634)  4 Ru 2.56-2.63, 8 Cu 2.62-2.67
Ru (0.3010, 0.3010, 0.6366)  4 Ru 2.56-2.63, 8 Cu 2.62-2.67

Computed properties:
ΔH_f (0 K): 0.235 eV/atom
ΔE to the lowest computed polymorph: 0.095 eV/atom
SG: C2/m, No. 12
D(E_F): 6.63 states/eV/cell

---

(11)
A relaxed Ac3Pr6Ho crystal. Source: Alexandria, functional PBE.

abc: 10.2688 10.2688 7.3499
angles: 45.69 45.69 60.00
Closest atoms and distances in Å follow each position.
Element x y z (fractional)
Ac (0.3498, 0.3498, 0.9506)  2 Ac 3.36, 6 Pr 3.65
Ac (0.6074, 0.6074, 0.1777)  1 Ho 3.16, 1 Ac 3.36, 3 Pr 3.45
Ac (0.0921, 0.0921, 0.7238)  1 Ho 3.16, 1 Ac 3.36, 3 Pr 3.46
Pr (0.9269, 0.6009, 0.2170)  2 Ac 3.45-3.65, 1 Ho 3.51
Pr (0.2552, 0.9269, 0.2170)  2 Ac 3.45-3.65, 1 Ho 3.51
Pr (0.6009, 0.2552, 0.2170)  2 Ac 3.45-3.65, 1 Ho 3.51
Pr (0.0991, 0.4453, 0.6822)  2 Ac 3.46-3.65, 1 Ho 3.50
Pr (0.7734, 0.0991, 0.6822)  2 Ac 3.46-3.65, 1 Ho 3.50
Pr (0.4453, 0.7734, 0.6822)  2 Ac 3.46-3.65, 1 Ho 3.50
Ho (0.8499, 0.8499, 0.4504)  2 Ac 3.16, 6 Pr 3.50-3.51

Computed properties:
ΔH_f (0 K): 0.323 eV/atom
SG: R-3, No. 148
D(E_F): 23.68 states/eV/cell

---

(12)
A relaxed LiHfPtO4 crystal. Source: Alexandria, functional PBE.

abc: 6.1902 6.3774 6.2958
angles: 119.58 90.00 119.03
Closest atoms and distances in Å follow each position.
Element x y z (fractional)
Li (0.8728, 0.7457, 0.1228)  4 O 2.01-2.19
Li (0.1272, 0.2543, 0.8772)  4 O 2.01-2.19
Hf (0.5000, 0.0000, 0.5000)  6 O 2.09-2.15
Hf (0.5000, 0.0000, 0.0000)  6 O 2.09-2.15
Pt (0.5000, 0.5000, 0.5000)  4 O 2.08
Pt (0.0000, 0.5000, 0.5000)  4 O 2.08
O (0.7327, 0.4653, 0.7008)  2 Pt 2.08, 1 Hf 2.15, 1 Li 2.19
O (0.2625, 0.9650, 0.2325)  1 Li 2.01, 2 Hf 2.09
O (0.7025, 0.9650, 0.2325)  1 Li 2.01, 2 Hf 2.09
O (0.7327, 0.4653, 0.2646)  2 Pt 2.08, 1 Hf 2.15, 1 Li 2.19
O (0.2673, 0.5347, 0.7354)  2 Pt 2.08, 1 Hf 2.15, 1 Li 2.19
O (0.7375, 0.0350, 0.7675)  1 Li 2.01, 2 Hf 2.09
O (0.2975, 0.0350, 0.7675)  1 Li 2.01, 2 Hf 2.09
O (0.2673, 0.5347, 0.2992)  2 Pt 2.08, 1 Hf 2.15, 1 Li 2.19

Computed properties:
SG: Imma, No. 74
Formation energy from raw total energies: -1.9624 eV per atom
D(E_F): 0.33 states/eV/cell

---

(13)
A relaxed Hf2FeTcI crystal. Source: Alexandria, functional PBE.

abc: 5.1537 4.7500 5.1537
angles: 90.00 90.00 90.00
Closest atoms and distances in Å follow each position.
Element x y z (fractional)
I (0.0000, 0.0000, 0.0000)  2 Tc 2.37, 4 Hf 2.58
Hf (0.0000, 0.0000, 0.5000)  2 I 2.58
Hf (0.5000, 0.0000, 0.0000)  2 I 2.58
Tc (0.0000, 0.5000, 0.0000)  2 I 2.37
Fe (0.5000, 0.5000, 0.5000)  8 Hf 3.50, 4 Tc 3.64

Computed properties:
SG: P4/mmm, No. 123
Formation energy from raw total energies: 1.7487 eV per atom
D(E_F): 7.44 states/eV/cell

---

(14)
A relaxed LiMg4Sn2 crystal. Source: Alexandria, functional PBE.

abc: 5.5389 5.5389 7.0573
angles: 113.11 113.11 90.00
Closest atoms and distances in Å follow each position.
Element x y z (fractional)
Li (0.0000, 0.0000, 0.0000)  4 Mg 2.77
Mg (0.7500, 0.2500, 0.5000)  2 Mg 2.94, 4 Sn 3.11
Mg (0.2500, 0.7500, 0.5000)  2 Mg 2.94, 4 Sn 3.11
Mg (0.5000, 0.0000, 0.0000)  2 Li 2.77, 2 Mg 2.94
Mg (0.0000, 0.5000, 0.0000)  2 Li 2.77, 2 Mg 2.94
Sn (0.6296, 0.6296, 0.2591)  1 Sn 3.04, 8 Mg 3.11-3.16
Sn (0.3704, 0.3704, 0.7409)  1 Sn 3.04, 8 Mg 3.11-3.16

Computed properties:
ΔH_f (0 K): 0.082 eV/atom
ΔE to the lowest computed polymorph: 0.210 eV/atom
SG: I4/mmm, No. 139
D(E_F): 3.82 states/eV/cell

---

(15)
A relaxed Cs2GaIr crystal. Source: Alexandria, functional PBE.

abc: 9.3024 9.3024 9.3024
angles: 93.88 93.88 149.86
Closest atoms and distances in Å follow each position.
Element x y z (fractional)
Cs (0.0518, 0.3750, 0.1768)  2 Ir 3.36
Cs (0.1982, 0.8750, 0.8232)  2 Ir 3.36
Cs (0.1250, 0.9482, 0.3232)  2 Ir 3.36
Cs (0.6250, 0.8018, 0.6768)  2 Ir 3.36
Ga (0.5000, 0.5000, 0.0000)  2 Ir 2.42
Ga (0.7500, 0.2500, 0.5000)  2 Ir 2.42
Ir (0.0000, 0.0000, 0.0000)  2 Ga 2.42
Ir (0.2500, 0.7500, 0.5000)  2 Ga 2.42

Computed properties:
ΔH_f (0 K): 0.241 eV/atom
SG: I-42d, No. 122
D(E_F): 5.12 states/eV/cell

---

(16)
A relaxed VNiSeN2 crystal. Source: Alexandria, functional PBE.

abc: 3.6705 3.6705 5.3651
angles: 90.00 90.00 90.00
Closest atoms and distances in Å follow each position.
Element x y z (fractional)
Ni (0.5000, 0.5000, 0.5000)  4 Se 2.60
N (0.0000, 0.5000, 0.0000)  2 V 1.84
N (0.5000, 0.0000, 0.0000)  2 V 1.84
Se (0.0000, 0.0000, 0.5000)  4 Ni 2.60, 2 V 2.68
V (0.0000, 0.0000, 0.0000)  4 N 1.84

Computed properties:
ΔE to the lowest computed polymorph: 0.000 eV/atom
SG: P4/mmm, No. 123
Formation energy from raw total energies: 0.4801 eV per atom
D(E_F): 4.24 states/eV/cell

---

(17)
A relaxed TaPPt2Pb crystal. Source: Alexandria, functional PBE.

abc: 4.4495 5.3359 4.4495
angles: 90.00 90.00 90.00
Closest atoms and distances in Å follow each position.
Element x y z (fractional)
Pb (0.0000, 0.5000, 0.0000)  2 P 2.67
P (0.0000, 0.0000, 0.0000)  4 Pt 2.22
Pt (0.0000, 0.0000, 0.5000)  2 P 2.22
Pt (0.5000, 0.0000, 0.0000)  2 P 2.22
Ta (0.5000, 0.5000, 0.5000)  4 Pb 3.15, 8 Pt 3.47

Computed properties:
ΔH_f (0 K): 0.745 eV/atom
SG: P4/mmm, No. 123
D(E_F): 5.47 states/eV/cell

---

(18)
A relaxed NiP2Cl crystal. Source: Alexandria, functional PBE.

abc: 6.3865 6.3865 6.3865
angles: 32.95 32.95 32.95
Closest atoms and distances in Å follow each position.
Element x y z (fractional)
Cl (0.2500, 0.2500, 0.2500)  6 P 3.01
Ni (0.7500, 0.7500, 0.7500)  6 P 2.26
P (0.0359, 0.0359, 0.0359)  3 Ni 2.26
P (0.4641, 0.4641, 0.4641)  3 Ni 2.26

Computed properties:
ΔE to the lowest computed polymorph: 0.171 eV/atom
SG: R-3m, No. 166
Formation energy from raw total energies: -0.0414 eV per atom
D(E_F): 3.11 states/eV/cell

---

(19)
A relaxed Tl3VCl8 crystal. Source: Alexandria, functional PBE.

abc: 9.5434 9.1925 9.1925
angles: 120.00 90.00 90.00
Closest atoms and distances in Å follow each position.
Element x y z (fractional)
Tl (0.6699, 0.7004, 0.8502)  2 Cl 2.93-3.25
Tl (0.6699, 0.1498, 0.2996)  2 Cl 2.93-3.25
Tl (0.6699, 0.1498, 0.8502)  2 Cl 2.93-3.25
Tl (0.1699, 0.2996, 0.1498)  2 Cl 2.93-3.25
Tl (0.1699, 0.8502, 0.7004)  2 Cl 2.93-3.25
Tl (0.1699, 0.8502, 0.1498)  2 Cl 2.93-3.25
V (0.1561, 0.3333, 0.6667)  6 Cl 2.25-2.32
V (0.6561, 0.6667, 0.3333)  6 Cl 2.25-2.32
Cl (0.0252, 0.0981, 0.5490)  1 V 2.25
Cl (0.0252, 0.4510, 0.9019)  1 V 2.25
Cl (0.0252, 0.4510, 0.5490)  1 V 2.25
Cl (0.5252, 0.9019, 0.4510)  1 V 2.25
Cl (0.5252, 0.5490, 0.0981)  1 V 2.25
Cl (0.5252, 0.5490, 0.4510)  1 V 2.25
Cl (0.7999, 0.4315, 0.2157)  1 V 2.32
Cl (0.7999, 0.7843, 0.5685)  1 V 2.32
Cl (0.7999, 0.7843, 0.2157)  1 V 2.32
Cl (0.2999, 0.5685, 0.7843)  1 V 2.32
Cl (0.2999, 0.2157, 0.4315)  1 V 2.32
Cl (0.2999, 0.2157, 0.7843)  1 V 2.32
Cl (0.6938, 0.3333, 0.6667)  3 Tl 2.93
Cl (0.1938, 0.6667, 0.3333)  3 Tl 2.93
Cl (0.9382, 0.0000, 0.0000)  6 Tl 3.25-3.50
Cl (0.4382, 0.0000, 0.0000)  6 Tl 3.25-3.50

Computed properties:
SG: P6_3mc, No. 186
Formation energy from raw total energies: -0.9823 eV per atom
D(E_F): 2.64 states/eV/cell

---

(20)
A relaxed La2PrNdHo crystal. Source: Alexandria, functional PBE.

abc: 6.8585 7.9541 6.5739
angles: 90.00 90.00 90.00
Closest atoms and distances in Å follow each position.
Element x y z (fractional)
La (0.7121, 0.7057, 0.7501)  1 Nd 3.12, 1 La 3.27, 2 Ho 3.48
La (0.7121, 0.2943, 0.7499)  1 Nd 3.12, 1 La 3.27, 2 Ho 3.48
La (0.2879, 0.7057, 0.2501)  1 Nd 3.12, 1 La 3.27, 2 Ho 3.48
La (0.2879, 0.2943, 0.2499)  1 Nd 3.12, 1 La 3.27, 2 Ho 3.48
Pr (0.1905, 0.5000, 0.7500)  8 La 3.67-3.93
Pr (0.8095, 0.5000, 0.2500)  8 La 3.67-3.93
Nd (0.5894, 0.0000, 0.2500)  2 La 3.12, 2 Ho 3.26
Nd (0.4106, 0.0000, 0.7500)  2 La 3.12, 2 Ho 3.26
Ho (0.0000, 0.0000, 0.0000)  2 Nd 3.26, 2 Ho 3.29, 4 La 3.48
Ho (0.0000, 0.0000, 0.5000)  2 Nd 3.26, 2 Ho 3.29, 4 La 3.48

Computed properties:
ΔH_f (0 K): 0.200 eV/atom
SG: Pmma, No. 51
D(E_F): 13.52 states/eV/cell

---

no.,size of the total moment (μB/f.u.)
1,7.1
2,0.0
3,2.9
4,0.0
5,1.5
6,0.0
7,0.0
8,0.0
9,0.0
10,0.4
11,0.0
12,1.0
13,3.3
14,0.0
15,0.0
16,1.3
17,1.0
18,0.0
19,0.1
20,0.0